(1)
VASP calculation (PBE) on a relaxed V3MoN crystal.

Cell: 4.511 4.511 4.511 Å, 90.00 90.00 90.00°
Positions (direct):
V  0.000  0.500  0.000
V  0.000  0.000  0.500
V  0.500  0.000  0.000
N  0.500  0.500  0.500
Mo  0.000  0.000  0.000

Summary:
- D(E_F) (states/eV/cell) = 4.8
- distance to the lowest polymorph of the same formula (kJ per mole of atoms) = 263.4
- V (Å³/cell) = 91.81
- M_tot (μB/f.u.) = 0.00
- uncorrected formation energy (meV/atom) = 2297

(2)
VASP calculation (PBE) on a relaxed Cs10Rb6Na crystal.

Cell: 9.786 14.479 14.479 Å, 120.00 90.00 90.00°
Positions (direct):
Rb  0.260  0.000  0.397
Cs  0.762  0.753  0.753
Rb  0.260  0.603  0.603
Rb  0.740  0.603  0.000
Cs  0.238  0.000  0.753
Cs  0.238  0.247  0.247
Rb  0.260  0.397  0.000
Cs  0.238  0.753  0.000
Cs  0.500  0.333  0.667
Rb  0.740  0.397  0.397
Cs  0.762  0.247  0.000
Cs  0.000  0.333  0.667
Cs  0.762  0.000  0.247
Rb  0.740  0.000  0.603
Cs  0.500  0.667  0.333
Na  0.500  0.000  0.000
Cs  0.000  0.667  0.333

Summary:
- energy of formation (eV per atom) = 0.02
- D(E_F) (states/eV/cell) = 16.9
- V (Å³/cell) = 1776.80
- M_tot (μB/f.u.) = 0.00

(3)
VASP calculation (PBE) on a relaxed SrCaPdAu crystal.

Cell: 4.150 4.597 5.994 Å, 90.00 110.26 90.00°
Positions (direct):
Pd  0.421  0.000  0.842
Sr  0.142  0.000  0.285
Au  0.574  0.500  0.148
Ca  0.862  0.500  0.725

Summary:
- energy of formation (eV per atom) = -0.73
- D(E_F) (states/eV/cell) = 1.4
- distance to the lowest polymorph of the same formula (kJ per mole of atoms) = 0.0
- V (Å³/cell) = 107.29
- M_tot (μB/f.u.) = 0.00